DFT (GGA-PBE) results for a relaxed Cs2BeAlH crystal.

abc: 7.3395 7.3395 3.7764
angles: 90.00 90.00 90.00
Closest atoms and distances in Å follow each position.
Space group P4/mmm (No. 123)
One atom of each set of equivalent atoms:
Cs1 0.0000 0.5000 0.0000 x2  2 Al 3.67, 2 Cs 3.78
Be1 0.0000 0.0000 0.5000 x1  2 Be 3.78, 8 Cs 4.13
Al1 0.5000 0.5000 0.0000 x1  2 H 1.89
H1 0.5000 0.5000 0.5000 x1  2 Al 1.89

## Properties
For the calculated density, the calculation gives 2.47 g/cm³. For the total energy, the calculation gives -1.585 eV/atom.